[1]
Ta2ZnRu | PBE | relaxed

abc: 9.3708 9.3708 9.3708
angles: 17.64 17.64 17.64
Each line ends with the local moment (μB).
Fractional positions:
Ta: 0.0027 0.0027 0.0027  0.01
Ta: 0.4973 0.4973 0.4973  0.01
Zn: 0.2500 0.2500 0.2500  0.00
Ru: 0.7500 0.7500 0.7500  0.15

Computed properties:
VASP energy in hartree per atom: -0.3120
Formation energy from the elements in eV per atom: 0.075
Volume in Å³ per cell: 66.0
Density of states at the Fermi level in states/eV/cell: 5.925



[2]
TaZnRu2 | PBE | relaxed

abc: 2.8299 2.8299 8.2759
angles: 90.00 90.00 111.39
Fractional positions:
Ru: 0.0000 0.0000 0.4980
Ru: 0.0000 0.0000 0.0020
Ta: 0.5000 0.5000 0.2500
Zn: 0.5000 0.5000 0.7500

Computed properties:
VASP energy in hartree per atom: -0.2916
Formation energy from the elements in eV per atom: -0.016
Volume in Å³ per cell: 61.7
Density of states at the Fermi level in states/eV/cell: 4.135



[3]
Ta2ZnRu | PBE | relaxed

abc: 7.2641 7.2641 5.8048
angles: 51.27 51.27 90.00
Fractional positions:
Ta: 0.3750 0.3430 0.7500
Ta: 0.8750 0.9070 0.7500
Ta: 0.6570 0.1250 0.2500
Ta: 0.0930 0.6250 0.2500
Zn: 0.2500 0.7500 0.5000
Zn: 0.5000 0.5000 0.0000
Ru: 0.0000 0.0000 0.0000
Ru: 0.7500 0.2500 0.5000

Computed properties:
VASP energy in hartree per atom: -0.2992
Formation energy from the elements in eV per atom: 0.422
Volume in Å³ per cell: 142.7
Density of states at the Fermi level in states/eV/cell: 7.419



[4]
Ta2ZnRu | PBE | relaxed

abc: 2.8333 2.8333 8.6447
angles: 90.00 90.00 108.75
Fractional positions:
Zn: 0.0000 0.0000 0.5132
Ru: 0.5000 0.5000 0.7488
Ta: 0.0000 0.0000 0.9850
Ta: 0.5000 0.5000 0.2529

Computed properties:
VASP energy in hartree per atom: -0.3144
Formation energy from the elements in eV per atom: 0.010
Volume in Å³ per cell: 65.7
Density of states at the Fermi level in states/eV/cell: 3.167



[5]
TaZnRu2 | PBE | relaxed

abc: 4.2798 2.7657 5.1180
angles: 85.20 90.00 90.00
Fractional positions:
Zn: 0.5000 0.7500 0.7500
Ru: 0.0000 0.9990 0.9859
Ru: 0.0000 0.5010 0.5141
Ta: 0.5000 0.2500 0.2500

Computed properties:
VASP energy in hartree per atom: -0.2922
Formation energy from the elements in eV per atom: -0.032
Volume in Å³ per cell: 60.4
Density of states at the Fermi level in states/eV/cell: 3.394



[6]
Ta2ZnRu | PBE | relaxed

abc: 5.3635 5.3635 5.3635
angles: 146.34 129.76 61.84
Fractional positions:
Ta: 0.0121 0.0121 0.0000
Ta: 0.7553 0.2553 0.5000
Zn: 0.4867 0.4867 0.0000
Ru: 0.2459 0.7459 0.5000

Computed properties:
VASP energy in hartree per atom: -0.3180
Formation energy from the elements in eV per atom: -0.088
Volume in Å³ per cell: 65.1
Density of states at the Fermi level in states/eV/cell: 2.119